(1)
This record from the Alexandria database describes a PBEsol-optimized structure of BeTlP. The functional is SCAN.

POSCAR file:
```
BeTlP
1.0
3.661 0.000 0.000
-1.830 3.170 0.000
0.000 0.000 5.005
Be Tl P
1 1 1
direct
0.000 0.000 0.000
0.333 0.667 0.500
0.667 0.333 0.000
```

Output
Formation energy from the elements in eV per atom: -0.1312
VASP energy in eV per atom: -29.168


(2)
This record from the Alexandria database describes a PBEsol-optimized structure of BeTlP4. The functional is SCAN.

POSCAR file:
```
BeTlP4
1.0
0.000 3.941 3.941
3.941 0.000 3.941
3.941 3.941 0.000
Be Tl P
1 1 4
direct
0.000 0.000 0.000
0.250 0.250 0.250
0.053 0.649 0.649
0.649 0.053 0.649
0.649 0.649 0.053
0.649 0.649 0.649
```

Output
Formation energy from the elements in eV per atom: 0.7717
VASP energy in eV per atom: -18.946


(3)
This record from the Alexandria database describes a PBEsol-optimized structure of BeTl2PW. The functional is SCAN.

POSCAR file:
```
BeTl2PW
1.0
5.332 0.000 0.000
0.000 5.332 0.000
0.000 0.000 3.730
Be Tl P W
1 2 1 1
direct
0.000 0.000 0.000
0.000 0.500 0.500
0.500 0.000 0.500
0.000 0.000 0.500
0.500 0.500 0.000
```

Output
Formation energy from the elements in eV per atom: 1.3960
VASP energy in eV per atom: -44.435


(4)
This record from the Alexandria database describes a PBEsol-optimized structure of BeTlZnP2. The functional is SCAN.

POSCAR file:
```
BeTlZnP2
1.0
4.297 0.000 0.000
0.000 4.297 0.000
0.000 0.000 4.822
Be Tl Zn P
1 1 1 2
direct
0.000 0.000 0.000
0.500 0.500 0.500
0.000 0.000 0.500
0.000 0.500 0.000
0.500 0.000 0.000
```

Output
Formation energy from the elements in eV per atom: 0.5269
VASP energy in eV per atom: -21.678


(5)
This record from the Alexandria database describes a PBEsol-optimized structure of Be2PW. The functional is SCAN.

POSCAR file:
```
Be2PW
1.0
2.572 0.000 0.000
0.000 2.572 0.000
0.000 0.000 7.307
Be P W
2 1 1
direct
0.000 0.000 0.249
0.000 0.000 0.751
0.500 0.500 0.000
0.500 0.500 0.500
```

Output
Formation energy from the elements in eV per atom: 0.4217
VASP energy in eV per atom: -21.777


(6)
This record from the Alexandria database describes a PBEsol-optimized structure of BeP3W. The functional is SCAN.

POSCAR file:
```
BeP3W
1.0
4.112 0.000 0.000
0.000 4.112 0.000
0.000 0.000 4.112
Be P W
1 3 1
direct
0.000 0.000 0.000
0.000 0.000 0.500
0.000 0.500 0.000
0.500 0.000 0.000
0.500 0.500 0.500
```

Output
Formation energy from the elements in eV per atom: 1.2443
VASP energy in eV per atom: -19.803